Entry 1:
Material: NbTeOs2
Method: DFT, PBE-GGA
State: relaxed

abc: 7.267 7.267 7.267
angles: 133.38 133.38 68.06
Atoms (fractional coordinates):
Nb: 0.000 0.000 0.000
Nb: 0.750 0.250 0.500
Te: 0.250 0.750 0.500
Te: 0.500 0.500 0.000
Os: 0.118 0.625 0.993
Os: 0.375 0.368 0.493
Os: 0.632 0.125 0.007
Os: 0.875 0.882 0.507

- formation energy without anion corrections (eV/atom) = 0.981
- M_tot (μB/atom) = 0.00
- volume (Å³/cell) = 199

***

Entry 2:
Material: Nb2TeOs2
Method: DFT, PBE-GGA
State: relaxed

abc: 7.824 7.824 3.023
angles: 90.00 90.00 90.00
Atoms (fractional coordinates):
Nb: 0.152 0.348 0.000
Nb: 0.348 0.848 0.000
Nb: 0.652 0.152 0.000
Nb: 0.848 0.652 0.000
Te: 0.000 0.000 0.000
Te: 0.500 0.500 0.000
Os: 0.134 0.634 0.500
Os: 0.366 0.134 0.500
Os: 0.634 0.866 0.500
Os: 0.866 0.366 0.500

- E above lowest polymorph (eV per atom) = 0.005
- formation energy without anion corrections (eV/atom) = 0.186
- M_tot (μB/atom) = 0.00
- volume (Å³/cell) = 185

***

Entry 3:
Material: Nb2TeOs2
Method: DFT, PBE-GGA
State: relaxed

abc: 7.378 7.378 7.378
angles: 149.37 149.37 43.87
Atoms (fractional coordinates):
Nb: 0.126 0.126 0.000
Nb: 0.874 0.874 0.000
Te: 0.500 0.500 0.000
Os: 0.250 0.750 0.500
Os: 0.750 0.250 0.500

- E above lowest polymorph (eV per atom) = 0.000
- formation energy without anion corrections (eV/atom) = 0.181
- M_tot (μB/atom) = 0.00
- volume (Å³/cell) = 104